Density functional theory data (PBE-GGA) for a relaxed EuAg3 crystal.

a b c (Å): 5.073 5.073 7.070
angles (deg): 90.00 90.00 90.00
Space group I4/mmm (No. 139)
Inequivalent atoms, fractional coordinates:
Eu 0.000 0.000 0.000 [2 per cell]
Ag 0.000 0.000 0.500 [2 per cell]
Ag 0.000 0.500 0.250 [4 per cell]

Results
- E_tot (eV/cell) = -38.72
- crystal system = tetragonal
- calculated formation energy (eV/atom) = -0.1334
- size of the total moment (μB per cell) = 14.049